A relaxed structure of PaTl2Ga. Source: the Alexandria database, functional GGA-PBE.

Computed properties:
Energy relative to the elements = 0.01 eV per atom
Crystal system = tetragonal
Total energy = -17.2 eV per cell

The structure in CIF format:
```
data_PaTl2Ga
_chemical_formula_sum 'Pa1 Tl2 Ga1'
_symmetry_space_group_name_H-M 'P 4/m m m'
_symmetry_Int_Tables_number 123
_symmetry_space_group_name_Hall '-P 4 2'
_cell_length_a 4.512
_cell_length_b 4.512
_cell_length_c 4.819
_cell_angle_alpha 90.00
_cell_angle_beta 90.00
_cell_angle_gamma 90.00
loop_
_atom_site_label
_atom_site_fract_x
_atom_site_fract_y
_atom_site_fract_z
Pa1 0.000 0.000 0.000
Tl1 0.000 0.500 0.500
Ga1 0.500 0.500 0.000
```